1.
{
  "formula": "SiRuAu2",
  "functional": "PBE",
  "state": "optimized geometry",
  "cell": [[-5.9914, -0.5410, -6.4100], [-3.5856, -1.2168, -7.9335], [-5.0008, -3.2949, -6.4354]],
  "species": ["Au", "Au", "Ru", "Si"],
  "frac_coords": [[0.0097, 0.0097, 0.0097], [0.2463, 0.2463, 0.2463], [0.4879, 0.4879, 0.4879], [0.7561, 0.7561, 0.7561]],
  "dft_energy_ev_per_cell": -21.2,
  "e_form_raw_kj_per_mol_atoms": 1.0
}

***

2.
{
  "formula": "SiRu2Au",
  "functional": "PBE",
  "state": "optimized geometry",
  "cell": [[3.8299, 0.0000, 0.0000], [0.0000, 2.8189, -0.0008], [0.0000, 1.4121, 5.5123]],
  "species": ["Au", "Ru", "Ru", "Si"],
  "frac_coords": [[0.5000, 0.5622, 0.7511], [0.0000, 0.9252, 0.0249], [0.5000, 0.2994, 0.2767], [0.0000, 0.7132, 0.4474]],
  "dft_energy_ev_per_cell": -27.0,
  "e_form_raw_kj_per_mol_atoms": 5.7
}

***

3.
{
  "formula": "SiRu2Au",
  "functional": "PBE",
  "state": "optimized geometry",
  "cell": [[2.7942, 0.0004, 0.0000], [-1.3357, 2.4542, 0.0000], [0.0000, 0.0000, 8.8761]],
  "species": ["Au", "Ru", "Ru", "Si"],
  "frac_coords": [[0.5000, 0.5000, 0.7369], [0.0000, 0.0000, 0.0166], [0.5000, 0.5000, 0.2668], [0.0000, 0.0000, 0.4797]],
  "dft_energy_ev_per_cell": -25.8,
  "e_form_raw_kj_per_mol_atoms": 33.9
}

***

4.
{
  "formula": "SiRuAu2",
  "functional": "PBE",
  "state": "optimized geometry",
  "cell": [[-2.5857, -2.1010, 1.9837], [2.8857, -1.7405, 1.9180], [-0.1606, 2.9736, 2.9400]],
  "species": ["Au", "Au", "Ru", "Si"],
  "frac_coords": [[0.0000, 0.0000, 0.0000], [0.5000, 0.5000, 0.0000], [0.5000, 0.0000, 0.5000], [0.0000, 0.5000, 0.5000]],
  "dft_energy_ev_per_cell": -20.6,
  "e_form_raw_kj_per_mol_atoms": 16.9
}

***

5.
{
  "formula": "SiRuAu",
  "functional": "PBE",
  "state": "optimized geometry",
  "cell": [[5.3992, -0.0060, 0.0000], [3.7242, 3.9092, 0.0000], [-4.5617, -1.9516, 2.1292]],
  "species": ["Au", "Ru", "Si"],
  "frac_coords": [[0.0101, 0.0101, 0.0000], [0.3007, 0.3007, 0.0000], [0.6892, 0.6892, 0.0000]],
  "dft_energy_ev_per_cell": -18.3,
  "e_above_lowest_polymorph_kcal_per_mol_atoms": 1.79,
  "e_form_raw_kj_per_mol_atoms": -9.9
}

***

6.
{
  "formula": "SiRu2Au",
  "functional": "PBE",
  "state": "optimized geometry",
  "cell": [[-2.8515, 1.2571, 4.2188], [-3.2044, -1.5821, 3.8390], [1.9887, -0.7760, 3.9535]],
  "species": ["Au", "Ru", "Ru", "Si"],
  "frac_coords": [[0.2500, 0.2500, 0.2500], [0.0388, 0.0388, 0.9613], [0.4612, 0.4612, 0.5387], [0.7500, 0.7500, 0.7500]],
  "dft_energy_ev_per_cell": -27.4,
  "e_form_raw_kj_per_mol_atoms": -2.7
}

***

7.
{
  "formula": "SiRu2Au",
  "functional": "PBE",
  "state": "optimized geometry",
  "cell": [[8.6783, -0.0123, -0.0072], [8.2200, 2.7829, -0.0072], [8.2200, 1.3477, 2.4348]],
  "species": ["Au", "Ru", "Ru", "Si"],
  "frac_coords": [[0.2454, 0.2454, 0.2454], [0.0067, 0.0067, 0.0067], [0.7541, 0.7541, 0.7541], [0.4939, 0.4939, 0.4939]],
  "dft_energy_ev_per_cell": -26.8,
  "e_form_raw_kj_per_mol_atoms": 10.8
}

***

8.
{
  "formula": "SiRu2Au",
  "functional": "PBE",
  "state": "optimized geometry",
  "cell": [[-0.0721, -3.4533, 1.6192], [2.1021, 1.3153, 2.8989], [-6.5762, 1.1900, 6.7387]],
  "species": ["Ru", "Ru", "Ru", "Ru", "Si", "Si", "Au", "Au"],
  "frac_coords": [[0.5623, 0.1250, 0.2500], [0.1877, 0.6250, 0.2500], [0.3750, 0.4377, 0.7500], [0.8750, 0.8123, 0.7500], [0.5000, 0.5000, 0.0000], [0.2500, 0.7500, 0.5000], [0.0000, 0.0000, 0.0000], [0.7500, 0.2500, 0.5000]],
  "dft_energy_ev_per_cell": -50.5,
  "e_form_raw_kj_per_mol_atoms": 48.5
}

***

Question: Number 3 is which compound?
Answer: SiRu2Au